[1]
Material: P2HWCl
Method: DFT, PBE
State: optimized geometry

Lattice parameters (Å, degrees): 3.745 3.745 4.674 90.00 90.00 90.00
Last column: magnetic moment on the atom in μB.
Atoms (fractional coordinates):
1 P 0.000 0.500 0.000  -0.04
2 P 0.500 0.000 0.000  -0.04
3 H 0.000 0.000 0.000  -0.01
4 W 0.500 0.500 0.500  1.54
5 Cl 0.000 0.000 0.500  0.00

Output
Crystal system: tetragonal

[2]
Material: YP2HCl
Method: DFT, PBE
State: optimized geometry

Lattice parameters (Å, degrees): 4.566 5.144 4.566 90.00 90.00 90.00
Atoms (fractional coordinates):
1 Y 0.000 0.500 0.000
2 P 0.000 0.000 0.500
3 P 0.500 0.000 0.000
4 H 0.500 0.500 0.500
5 Cl 0.000 0.000 0.000

Output
Crystal system: tetragonal

[3]
Material: YP2HCl
Method: DFT, PBE
State: optimized geometry

Lattice parameters (Å, degrees): 5.519 5.519 5.349 90.00 90.00 90.00
Last column: magnetic moment on the atom in μB.
Atoms (fractional coordinates):
1 Y 0.000 0.000 0.000  0.02
2 P 0.000 0.500 0.000  0.41
3 P 0.500 0.000 0.000  0.41
4 H 0.500 0.500 0.500  0.38
5 Cl 0.000 0.000 0.500  0.10

Output
Crystal system: tetragonal

[4]
Material: YP2HCl
Method: DFT, PBE
State: optimized geometry

Lattice parameters (Å, degrees): 3.841 3.841 5.284 90.00 90.00 90.00
Atoms (fractional coordinates):
1 Y 0.500 0.500 0.500
2 P 0.000 0.500 0.000
3 P 0.500 0.000 0.000
4 H 0.000 0.000 0.000
5 Cl 0.000 0.000 0.500

Output
Crystal system: tetragonal

Energy (computed, eV per formula unit): -24.0 -18.3 -20.2 -24.6
Excess energy over the best structure of this formula in the dataset (computed, eV per atom): 0.303 1.253 0.884 0.000